Run a
Material: ZrSi2Te
Method: DFT, PBE
State: relaxed

## Properties
As for the total moment: 0.000 μB/atom.

Unit cell a=4.114 b=4.114 c=9.347 alpha=90.00 beta=90.00 gamma=90.00
Fractional coordinates of all 8 atoms:
Zr1 0.000 0.000 0.000
Zr2 0.500 0.500 0.500
Si1 0.000 0.500 0.250
Si2 0.000 0.500 0.750
Si3 0.500 0.000 0.250
Si4 0.500 0.000 0.750
Te1 0.000 0.000 0.500
Te2 0.500 0.500 0.000

=====

Run b
Material: ZrSi2Te
Method: DFT, PBE
State: relaxed

## Properties
As for the total moment: 0.000 μB/atom.

Unit cell a=10.528 b=3.979 c=3.887 alpha=90.00 beta=90.09 gamma=90.00
Fractional coordinates of all 8 atoms:
Zr1 0.000 0.000 0.000
Zr2 0.500 0.500 0.000
Si1 0.079 0.500 0.501
Si2 0.307 0.500 0.501
Si3 0.579 0.000 0.501
Si4 0.807 0.000 0.501
Te1 0.284 0.000 0.003
Te2 0.784 0.500 0.003

=====

Stability check: which of them is most stable? run b.

=====

Run a
Material: ZrSi2Te
Method: DFT, PBE
State: relaxed

## Properties
As for the total moment: 0.000 μB/atom.

Unit cell a=3.807 b=3.807 c=21.448 alpha=90.00 beta=90.00 gamma=120.00
Fractional coordinates of all 12 atoms:
Zr1 0.000 0.000 0.000
Zr2 0.333 0.667 0.667
Zr3 0.667 0.333 0.333
Si1 0.000 0.000 0.253
Si2 0.000 0.000 0.546
Si3 0.333 0.667 0.213
Si4 0.333 0.667 0.920
Si5 0.667 0.333 0.587
Si6 0.667 0.333 0.879
Te1 0.000 0.000 0.755
Te2 0.333 0.667 0.421
Te3 0.667 0.333 0.088

=====

Run b
Material: ZrSi2Te
Method: DFT, PBE
State: relaxed

## Properties
As for the total moment: 0.000 μB/atom.

Unit cell a=6.070 b=7.600 c=3.399 alpha=90.00 beta=90.00 gamma=90.00
Fractional coordinates of all 8 atoms:
Zr1 0.000 0.000 0.000
Zr2 0.500 0.500 0.000
Si1 0.250 0.250 0.500
Si2 0.250 0.750 0.500
Si3 0.750 0.250 0.500
Si4 0.750 0.750 0.500
Te1 0.000 0.500 0.000
Te2 0.500 0.000 0.000

=====

Run c
Material: ZrSi2Te
Method: DFT, PBE
State: relaxed

## Properties
As for the total moment: 0.000 μB/atom.

Unit cell a=9.568 b=3.731 c=5.122 alpha=90.00 beta=92.15 gamma=90.00
Fractional coordinates of all 8 atoms:
Zr1 0.000 0.000 0.000
Zr2 0.500 0.500 0.000
Si1 0.212 0.500 0.879
Si2 0.288 0.000 0.121
Si3 0.712 0.000 0.879
Si4 0.788 0.500 0.121
Te1 0.000 0.500 0.500
Te2 0.500 0.000 0.500

=====

Stability check: which of them is most stable? run a.

=====

Run a
Material: Zr2Si2Te
Method: DFT, PBE
State: relaxed

## Properties
As for the total moment: 0.000 μB/atom.

Unit cell a=3.633 b=3.633 c=15.092 alpha=90.00 beta=90.00 gamma=90.00
Fractional coordinates of all 10 atoms:
Zr1 0.000 0.000 0.111
Zr2 0.000 0.000 0.889
Zr3 0.500 0.500 0.389
Zr4 0.500 0.500 0.611
Si1 0.000 0.500 0.250
Si2 0.000 0.500 0.750
Si3 0.500 0.000 0.250
Si4 0.500 0.000 0.750
Te1 0.000 0.000 0.500
Te2 0.500 0.500 0.000

=====

Run b
Material: Zr2Si2Te
Method: DFT, PBE
State: relaxed

## Properties
As for the total moment: 0.000 μB/atom.

Unit cell a=7.573 b=7.573 c=3.634 alpha=90.00 beta=90.00 gamma=90.00
Fractional coordinates of all 10 atoms:
Zr1 0.169 0.331 0.000
Zr2 0.331 0.831 0.000
Zr3 0.669 0.169 0.000
Zr4 0.831 0.669 0.000
Si1 0.114 0.614 0.500
Si2 0.386 0.114 0.500
Si3 0.614 0.886 0.500
Si4 0.886 0.386 0.500
Te1 0.000 0.000 0.000
Te2 0.500 0.500 0.000

=====

Stability check: which of them is most stable? run a.

=====

Run a
Material: ZrSi3Te
Method: DFT, PBE
State: relaxed

## Properties
As for the total moment: 0.000 μB/atom.

Unit cell a=5.011 b=5.011 c=5.011 alpha=90.00 beta=90.00 gamma=90.00
Fractional coordinates of all 5 atoms:
Zr1 0.000 0.000 0.000
Si1 0.000 0.500 0.500
Si2 0.500 0.000 0.500
Si3 0.500 0.500 0.000
Te1 0.500 0.500 0.500

=====

Run b
Material: ZrSi3Te
Method: DFT, PBE
State: relaxed

## Properties
As for the total moment: 0.000 μB/atom.

Unit cell a=5.156 b=5.156 c=5.156 alpha=90.00 beta=90.00 gamma=90.00
Fractional coordinates of all 5 atoms:
Zr1 0.000 0.000 0.000
Si1 0.000 0.000 0.500
Si2 0.000 0.500 0.000
Si3 0.500 0.000 0.000
Te1 0.500 0.500 0.500

=====

Stability check: which of them is most stable? run b.

=====

Run a
Material: Th3Si
Method: DFT, PBE
State: relaxed

## Properties
As for the total moment: 0.000 μB/atom.

Unit cell a=12.268 b=12.268 c=6.044 alpha=90.00 beta=90.00 gamma=90.00
Fractional coordinates of all 32 atoms:
Th1 0.033 0.573 0.244
Th2 0.073 0.967 0.744
Th3 0.114 0.222 0.022
Th4 0.139 0.666 0.725
Th5 0.166 0.861 0.225
Th6 0.222 0.386 0.478
Th7 0.278 0.114 0.478
Th8 0.334 0.639 0.225
Th9 0.361 0.834 0.725
Th10 0.386 0.278 0.022
Th11 0.427 0.533 0.744
Th12 0.467 0.927 0.244
Th13 0.533 0.073 0.756
Th14 0.573 0.467 0.256
Th15 0.614 0.722 0.978
Th16 0.639 0.166 0.275
Th17 0.666 0.361 0.775
Th18 0.722 0.886 0.522
Th19 0.778 0.614 0.522
Th20 0.834 0.139 0.775
Th21 0.861 0.334 0.275
Th22 0.886 0.778 0.978
Th23 0.927 0.033 0.256
Th24 0.967 0.427 0.756
Si1 0.046 0.207 0.531
Si2 0.207 0.454 0.969
Si3 0.293 0.046 0.969
Si4 0.454 0.293 0.531
Si5 0.546 0.707 0.469
Si6 0.707 0.954 0.031
Si7 0.793 0.546 0.031
Si8 0.954 0.793 0.469

=====

Run b
Material: Th3Si
Method: DFT, PBE
State: relaxed

## Properties
As for the total moment: 0.000 μB/atom.

Unit cell a=3.841 b=9.671 c=6.317 alpha=90.00 beta=90.00 gamma=90.00
Fractional coordinates of all 8 atoms:
Th1 0.000 0.000 0.000
Th2 0.000 0.199 0.570
Th3 0.000 0.801 0.570
Th4 0.500 0.301 0.070
Th5 0.500 0.500 0.500
Th6 0.500 0.699 0.070
Si1 0.000 0.500 0.848
Si2 0.500 0.000 0.348

=====

Stability check: which of them is most stable? run a.

=====

Run a
Material: Th3Si2
Method: DFT, PBE
State: relaxed

## Properties
As for the total moment: 0.000 μB/atom.

Unit cell a=9.431 b=9.431 c=3.345 alpha=90.00 beta=90.00 gamma=90.00
Fractional coordinates of all 10 atoms:
Th1 0.000 0.000 0.000
Th2 0.206 0.294 0.500
Th3 0.294 0.794 0.500
Th4 0.500 0.500 0.000
Th5 0.706 0.206 0.500
Th6 0.794 0.706 0.500
Si1 0.085 0.585 0.500
Si2 0.415 0.085 0.500
Si3 0.585 0.915 0.500
Si4 0.915 0.415 0.500

=====

Run b
Material: Th3Si2
Method: DFT, PBE
State: relaxed

## Properties
As for the total moment: 0.000 μB/atom.

Unit cell a=7.846 b=7.846 c=4.153 alpha=90.00 beta=90.00 gamma=90.00
Fractional coordinates of all 10 atoms:
Th1 0.000 0.000 0.000
Th2 0.181 0.319 0.500
Th3 0.319 0.819 0.500
Th4 0.500 0.500 0.000
Th5 0.681 0.181 0.500
Th6 0.819 0.681 0.500
Si1 0.113 0.613 0.000
Si2 0.387 0.113 0.000
Si3 0.613 0.887 0.000
Si4 0.887 0.387 0.000

=====

Run c
Material: Th3Si2
Method: DFT, PBE
State: relaxed

## Properties
As for the total moment: 0.000 μB/atom.

Unit cell a=4.466 b=6.400 c=9.042 alpha=90.00 beta=90.00 gamma=90.00
Fractional coordinates of all 10 atoms:
Th1 0.000 0.000 0.000
Th2 0.000 0.500 0.206
Th3 0.000 0.500 0.794
Th4 0.500 0.000 0.294
Th5 0.500 0.000 0.706
Th6 0.500 0.500 0.500
Si1 0.000 0.191 0.500
Si2 0.000 0.809 0.500
Si3 0.500 0.309 0.000
Si4 0.500 0.691 0.000

=====

Stability check: which of them is most stable? run b.

=====

Run a
Material: TmThSi2
Method: DFT, PBE
State: relaxed

## Properties
As for the total moment: 0.000 μB/atom.

Unit cell a=3.919 b=5.795 c=7.970 alpha=90.00 beta=90.00 gamma=90.00
Fractional coordinates of all 8 atoms:
Tm1 0.000 0.131 0.000
Tm2 0.000 0.869 0.500
Th1 0.500 0.369 0.359
Th2 0.500 0.631 0.859
Si1 0.000 0.371 0.643
Si2 0.000 0.629 0.143
Si3 0.500 0.119 0.719
Si4 0.500 0.881 0.219

=====

Run b
Material: TmThSi2
Method: DFT, PBE
State: relaxed

## Properties
As for the total moment: 0.000 μB/atom.

Unit cell a=4.576 b=4.576 c=15.839 alpha=90.00 beta=90.00 gamma=120.00
Fractional coordinates of all 12 atoms:
Tm1 0.000 0.000 0.000
Tm2 0.333 0.667 0.667
Tm3 0.667 0.333 0.333
Th1 0.000 0.000 0.500
Th2 0.333 0.667 0.167
Th3 0.667 0.333 0.833
Si1 0.000 0.000 0.261
Si2 0.000 0.000 0.739
Si3 0.333 0.667 0.406
Si4 0.333 0.667 0.928
Si5 0.667 0.333 0.072
Si6 0.667 0.333 0.594

=====

Stability check: which of them is most stable? run a.

=====

Run a
Material: ThUSi
Method: DFT, PBE
State: relaxed

## Properties
As for the total moment: 0.928 μB/atom.

Unit cell a=4.964 b=4.964 c=3.235 alpha=90.00 beta=90.00 gamma=120.00
Fractional coordinates of all 3 atoms:
Th1 0.000 0.000 0.000
U1 0.667 0.333 0.434
Si1 0.333 0.667 0.659

=====

Run b
Material: ThUSi
Method: DFT, PBE
State: relaxed

## Properties
As for the total moment: 0.108 μB/atom.

Unit cell a=5.013 b=5.013 c=12.587 alpha=90.00 beta=90.00 gamma=120.00
Fractional coordinates of all 12 atoms:
Th1 0.000 0.000 0.000
Th2 0.000 0.000 0.250
Th3 0.000 0.000 0.500
Th4 0.000 0.000 0.750
U1 0.333 0.667 0.151
U2 0.333 0.667 0.349
U3 0.667 0.333 0.651
U4 0.667 0.333 0.849
Si1 0.333 0.667 0.606
Si2 0.333 0.667 0.894
Si3 0.667 0.333 0.106
Si4 0.667 0.333 0.394

=====

Stability check: which of them is most stable? run b.